! PBE RbReN2, relaxed; values from VASP
! Fermi-level density of states   2.245 states/eV/f.u.
! ΔE to the lowest computed polymorph   1354.0 meV per atom
! Formation energy from raw total energies   447 kJ/mol of formula units
&SYSTEM
  ibrav = 0, nat = 12, ntyp = 3
/
ATOMIC_SPECIES
Rb 85.47 Rb.upf
Re 186.21 Re.upf
N 14.01 N.upf
CELL_PARAMETERS angstrom
3.176 0.000 0.000
-1.588 2.751 0.000
0.000 0.000 24.091
ATOMIC_POSITIONS crystal
Rb 0.000 0.000 0.000
Rb 0.333 0.667 0.667
Rb 0.667 0.333 0.333
Re 0.000 0.000 0.500
Re 0.333 0.667 0.167
Re 0.667 0.333 0.833
N 0.000 0.000 0.424
N 0.000 0.000 0.576
N 0.333 0.667 0.090
N 0.333 0.667 0.243
N 0.667 0.333 0.757
N 0.667 0.333 0.910


! PBE Ac3CoHg, relaxed; values from VASP
! Fermi-level density of states   4.469 states/eV/f.u.
! ΔH_f (0 K)   -0.2261 eV/atom
! ΔE to the lowest computed polymorph   0.0 meV per atom
&SYSTEM
  ibrav = 0, nat = 20, ntyp = 3
/
ATOMIC_SPECIES
Ac 227.00 Ac.upf
Co 58.93 Co.upf
Hg 200.59 Hg.upf
CELL_PARAMETERS angstrom
10.255 0.000 0.000
0.000 4.185 0.000
0.000 0.000 15.727
ATOMIC_POSITIONS crystal
Ac 0.017 0.250 0.107
Ac 0.172 0.250 0.508
Ac 0.225 0.750 0.286
Ac 0.275 0.250 0.786
Ac 0.328 0.750 0.008
Ac 0.483 0.750 0.607
Ac 0.517 0.250 0.393
Ac 0.672 0.250 0.992
Ac 0.725 0.750 0.214
Ac 0.775 0.250 0.714
Ac 0.828 0.750 0.492
Ac 0.983 0.750 0.893
Co 0.163 0.250 0.943
Co 0.337 0.750 0.443
Co 0.663 0.250 0.557
Co 0.837 0.750 0.057
Hg 0.049 0.750 0.673
Hg 0.451 0.250 0.173
Hg 0.549 0.750 0.827
Hg 0.951 0.250 0.327


! PBE TaSbBr2, relaxed; values from VASP
! ΔE to the lowest computed polymorph   0.0 meV per atom
! Formation energy from raw total energies   -125 kJ/mol of formula units
&SYSTEM
  ibrav = 0, nat = 4, ntyp = 3
/
ATOMIC_SPECIES
Ta 180.95 Ta.upf
Sb 121.76 Sb.upf
Br 79.90 Br.upf
CELL_PARAMETERS angstrom
3.227 0.000 0.000
-0.852 6.837 0.000
-0.469 -3.375 5.998
ATOMIC_POSITIONS crystal
Ta 0.000 0.000 0.000
Sb 0.799 0.345 0.342
Br 0.436 0.713 0.022
Br 0.473 0.021 0.714


! PBE Ti7PdRh4, relaxed; values from VASP
! Fermi-level density of states   11.126 states/eV/f.u.
! ΔH_f (0 K)   -0.3014 eV/atom
&SYSTEM
  ibrav = 0, nat = 12, ntyp = 3
/
ATOMIC_SPECIES
Ti 47.87 Ti.upf
Pd 106.42 Pd.upf
Rh 102.91 Rh.upf
CELL_PARAMETERS angstrom
5.735 -2.324 0.000
5.735 2.324 0.000
-5.059 0.000 7.543
ATOMIC_POSITIONS crystal
Ti 0.000 0.000 0.000
Ti 0.164 0.164 0.613
Ti 0.282 0.282 0.119
Ti 0.451 0.451 0.626
Ti 0.549 0.549 0.374
Ti 0.718 0.718 0.881
Ti 0.836 0.836 0.387
Pd 0.500 0.500 0.000
Rh 0.067 0.067 0.788
Rh 0.215 0.215 0.347
Rh 0.785 0.785 0.653
Rh 0.933 0.933 0.212


Which formula does entry 1 have? RbReN2